Here is Sc2TlIr at its PBEsol-relaxed geometry from Alexandria via LeMat-Bulk. Energies are from meta-GGA SCAN.

Output
Formation energy from the elements (eV/atom): -0.86
ρ (g cm⁻³): 10.46
E_tot (eV/atom): -43.842

Structure (CIF):
```
data_Sc2TlIr
_chemical_formula_sum 'Sc2 Tl1 Ir1'
_space_group_name_H-M_alt 'P 4/m m m'
_space_group_IT_number 123
_space_group_name_Hall '-P 4 2'
_cell_length_a 3.1660
_cell_length_b 3.1660
_cell_length_c 7.7086
_cell_angle_alpha 90.00
_cell_angle_beta 90.00
_cell_angle_gamma 90.00
loop_
_atom_site_label
_atom_site_type_symbol
_atom_site_fract_x
_atom_site_fract_y
_atom_site_fract_z
Sc1 Sc 0.0000 0.0000 0.2106
Tl1 Tl 0.5000 0.5000 0.5000
Ir1 Ir 0.5000 0.5000 0.0000
```